[1]
Material: Al2NiTe
Method: DFT, meta-GGA SCAN
State: PBEsol geometry

extended XYZ file:
```
4
Lattice="2.950 0.000 0.000 0.000 2.950 0.000 0.000 0.000 7.988" Properties=species:S:1:pos:R:3 pbc="T T T"
Al 0.000 0.000 1.383
Al 0.000 0.000 6.605
Ni 1.475 1.475 0.000
Te 1.475 1.475 3.994
```

energy = -69.29 eV/cell
raw formation energy = -0.089 eV per atom
crystal system = tetragonal



[2]
Material: ThAl3Ni2
Method: DFT, meta-GGA SCAN
State: PBEsol geometry

extended XYZ file:
```
6
Lattice="5.270 0.000 0.000 -2.635 4.564 0.000 0.000 0.000 4.020" Properties=species:S:1:pos:R:3 pbc="T T T"
Th 0.000 0.000 0.000
Al -1.317 2.282 2.010
Al 2.635 0.000 2.010
Al 1.317 2.282 2.010
Ni 0.000 3.042 0.000
Ni 2.635 1.521 0.000
```

energy = -155.56 eV/cell
ΔE_f = -674 meV per atom
crystal system = hexagonal



[3]
Material: Ti2AlNi2
Method: DFT, meta-GGA SCAN
State: PBEsol geometry

extended XYZ file:
```
10
Lattice="6.714 0.000 0.000 0.000 6.714 0.000 0.000 0.000 3.013" Properties=species:S:1:pos:R:3 pbc="T T T"
Ti 1.139 2.218 0.000
Ti 2.218 5.575 0.000
Ti 4.496 1.139 0.000
Ti 5.575 4.496 0.000
Al 0.000 0.000 1.507
Al 3.357 3.357 1.507
Ni 0.861 4.218 1.507
Ni 2.496 0.861 1.507
Ni 4.218 5.853 1.507
Ni 5.853 2.496 1.507
```

energy = -150.11 eV/cell
ΔE_f = -580 meV per atom
crystal system = tetragonal



[4]
Material: Ti6Al16Ni7
Method: DFT, meta-GGA SCAN
State: PBEsol geometry

extended XYZ file:
```
29
Lattice="0.000 5.855 5.855 5.855 0.000 5.855 5.855 5.855 0.000" Properties=species:S:1:pos:R:3 pbc="T T T"
Ti 5.855 5.855 2.128
Ti 5.855 2.128 5.855
Ti 9.582 5.855 5.855
Ti 2.128 5.855 5.855
Ti 5.855 9.582 5.855
Ti 5.855 5.855 9.582
Al 7.249 4.462 4.462
Al 1.897 1.897 1.897
Al 3.958 3.958 1.897
Al 3.958 1.897 3.958
Al 4.462 4.462 4.462
Al 7.249 7.249 4.462
Al 7.249 4.462 7.249
Al 9.813 7.752 7.752
Al 1.897 3.958 3.958
Al 4.462 7.249 4.462
Al 4.462 4.462 7.249
Al 7.249 7.249 7.249
Al 7.752 9.813 7.752
Al 7.752 7.752 9.813
Al 9.813 9.813 9.813
Al 4.462 7.249 7.249
Ni 2.928 2.928 0.000
Ni 2.928 0.000 2.928
Ni 5.855 2.928 2.928
Ni 0.000 2.928 2.928
Ni 2.928 5.855 2.928
Ni 2.928 2.928 5.855
Ni 5.855 5.855 5.855
```

energy = -352.15 eV/cell
ΔE_f = -646 meV per atom
crystal system = cubic



[5]
Material: TiAlNi6
Method: DFT, meta-GGA SCAN
State: PBEsol geometry

extended XYZ file:
```
8
Lattice="3.549 0.000 0.000 0.000 3.549 0.000 0.000 0.000 7.008" Properties=species:S:1:pos:R:3 pbc="T T T"
Ti 0.000 0.000 0.000
Al 0.000 0.000 3.504
Ni 0.000 1.774 1.770
Ni 0.000 1.774 5.239
Ni 1.774 0.000 1.770
Ni 1.774 0.000 5.239
Ni 1.774 1.774 0.000
Ni 1.774 1.774 3.504
```

energy = -124.76 eV/cell
ΔE_f = -492 meV per atom
crystal system = tetragonal



[6]
Material: Ti4Al11Ni
Method: DFT, meta-GGA SCAN
State: PBEsol geometry

extended XYZ file:
```
16
Lattice="3.867 0.000 0.000 0.000 3.867 0.000 0.000 0.000 16.175" Properties=species:S:1:pos:R:3 pbc="T T T"
Ti 0.000 0.000 0.000
Ti 0.000 0.000 3.758
Ti 1.934 1.934 7.945
Ti 1.934 1.934 11.827
Al 0.000 0.000 7.721
Al 0.000 0.000 11.919
Al 0.000 1.934 1.972
Al 0.000 1.934 5.682
Al 0.000 1.934 9.862
Al 0.000 1.934 13.994
Al 1.934 0.000 1.972
Al 1.934 0.000 5.682
Al 1.934 0.000 9.862
Al 1.934 0.000 13.994
Al 1.934 1.934 16.048
Ni 1.934 1.934 3.791
```

energy = -172.34 eV/cell
ΔE_f = -424 meV per atom
crystal system = tetragonal



[7]
Material: TiAl3Ni
Method: DFT, meta-GGA SCAN
State: PBEsol geometry

extended XYZ file:
```
5
Lattice="4.786 0.000 0.000 0.000 4.786 0.000 0.000 0.000 4.786" Properties=species:S:1:pos:R:3 pbc="T T T"
Ti 0.000 0.000 0.000
Al 0.000 0.000 2.393
Al 0.000 2.393 0.000
Al 2.393 0.000 0.000
Ni 2.393 2.393 2.393
```

energy = -48.86 eV/cell
ΔE_f = 1319 meV per atom
crystal system = cubic



[8]
Material: Ti3AlNi
Method: DFT, meta-GGA SCAN
State: PBEsol geometry

extended XYZ file:
```
5
Lattice="4.580 0.000 0.000 0.000 4.580 0.000 0.000 0.000 4.580" Properties=species:S:1:pos:R:3 pbc="T T T"
Ti 0.000 0.000 2.290
Ti 0.000 2.290 0.000
Ti 2.290 0.000 0.000
Al 0.000 0.000 0.000
Ni 2.290 2.290 2.290
```

energy = -66.31 eV/cell
ΔE_f = 1140 meV per atom
crystal system = cubic



[9]
Material: TiAl2Ni2
Method: DFT, meta-GGA SCAN
State: PBEsol geometry

extended XYZ file:
```
5
Lattice="-1.804 1.804 5.345 1.804 -1.804 5.345 1.804 1.804 -5.345" Properties=species:S:1:pos:R:3 pbc="T T T"
Ti 0.000 0.000 0.000
Al 1.804 0.000 2.672
Al 0.000 1.804 2.672
Ni 0.000 0.000 4.234
Ni 0.000 0.000 6.456
```

energy = -65.64 eV/cell
ΔE_f = -351 meV per atom
crystal system = tetragonal



[10]
Material: Al3TlNi
Method: DFT, meta-GGA SCAN
State: PBEsol geometry

extended XYZ file:
```
5
Lattice="5.075 0.000 0.000 0.000 5.075 0.000 0.000 0.000 5.075" Properties=species:S:1:pos:R:3 pbc="T T T"
Al 0.000 0.000 2.537
Al 0.000 2.537 0.000
Al 2.537 0.000 0.000
Tl 0.000 0.000 0.000
Ni 2.537 2.537 2.537
```

energy = -104.52 eV/cell
ΔE_f = 1453 meV per atom
crystal system = cubic



[11]
Material: AlTlNi
Method: DFT, meta-GGA SCAN
State: PBEsol geometry

extended XYZ file:
```
3
Lattice="4.112 0.000 0.000 -2.056 3.561 0.000 0.000 0.000 3.575" Properties=species:S:1:pos:R:3 pbc="T T T"
Al 0.000 0.000 0.000
Tl 2.056 1.187 1.787
Ni 0.000 2.374 0.000
```

energy = -95.71 eV/cell
ΔE_f = 193 meV per atom
crystal system = hexagonal



[12]
Material: TmAl2Ni
Method: DFT, meta-GGA SCAN
State: PBEsol geometry

extended XYZ file:
```
8
Lattice="2.006 -4.915 0.000 2.006 4.915 0.000 0.000 0.000 6.807" Properties=species:S:1:pos:R:3 pbc="T T T"
Tm 2.006 4.297 5.105
Tm 2.006 -4.297 1.702
Al 2.006 1.504 3.768
Al 2.006 1.504 6.443
Al 2.006 -1.504 0.364
Al 2.006 -1.504 3.039
Ni 2.006 2.803 1.702
Ni 2.006 -2.803 5.105
```

energy = -172.76 eV/cell
ΔE_f = -718 meV per atom
crystal system = orthorhombic